Below is crystalline ScBF2 at its relaxed geometry, with properties calculated at the GGA-PBE level.

Cell lengths 7.708, 7.708, 7.708 Å; angles 152.27, 152.27, 39.62 degrees
Fractional coordinates of all 8 atoms:
Sc1 0.000 0.000 0.000
Sc2 0.750 0.250 0.500
B1 0.250 0.750 0.500
B2 0.500 0.500 0.000
F1 0.093 0.625 0.968
F2 0.375 0.343 0.468
F3 0.657 0.125 0.032
F4 0.875 0.907 0.532

As for the offset from the most stable computed form: 0 meV/atom. As for the magnetization: 0.4 μB/f.u. The value obtained for the density is 3.1 g/cm³. Its symmetry is No. 122.


Below is crystalline CeHoSb2 at its relaxed geometry, with properties calculated at the GGA-PBE level.

Cell lengths 7.676, 7.676, 7.676 Å; angles 33.58, 33.58, 33.58 degrees
Fractional coordinates of all 4 atoms:
Ce1 0.000 0.000 0.000
Ho1 0.500 0.500 0.500
Sb1 0.247 0.247 0.247
Sb2 0.753 0.753 0.753

As for the offset from the most stable computed form: 0 meV/atom. As for the magnetization: 0.8 μB/f.u. The value obtained for the density is 7.4 g/cm³. Its symmetry is No. 166.